No. 1
Compound: Rb5HoS4
Source: the Alexandria database
Functional: GGA-PBE
Structure: relaxed

```
10
Lattice="10.048 -2.252 0.000 10.048 2.252 0.000 -3.599 0.000 7.746" Properties=species:S:1:pos:R:3 pbc="T T T"
Rb 0.000 0.000 0.000
Rb 6.360 0.000 0.637
Rb 4.551 0.000 4.528
Rb 11.945 0.000 3.218
Rb 10.136 0.000 7.109
Ho -1.800 0.000 3.873
S 0.818 0.000 5.087
S 9.017 0.000 2.215
S 7.479 0.000 5.531
S 15.678 0.000 2.660
```

Summary:
E = -3.772 eV/atom
Formation energy from raw total energies = -1.1797 eV per atom
Magnetic moment = 0.0000 μB per atom


No. 2
Compound: ZnAs2
Source: the Alexandria database
Functional: GGA-PBE
Structure: relaxed

```
12
Lattice="2.829 0.000 0.000 0.000 15.182 0.000 0.000 0.000 5.265" Properties=species:S:1:pos:R:3 pbc="T T T"
Zn 0.000 2.547 1.316
Zn 0.000 12.634 3.949
Zn 1.415 5.044 3.949
Zn 1.415 10.138 1.316
As 0.000 2.753 3.949
As 0.000 7.335 3.949
As 0.000 7.847 1.316
As 0.000 12.429 1.316
As 1.415 0.256 1.316
As 1.415 4.838 1.316
As 1.415 10.344 3.949
As 1.415 14.926 3.949
```

Summary:
E = -3.392 eV/atom
Magnetic moment = 0.0000 μB per atom
E_form = 12.8 kJ per mole of atoms